Record 1
VASP calculation (GGA-PBE) on an optimized crystal structure of MgSc2Nb3N6.

a = 3.1155 Å, b = 6.3376 Å, c = 7.0875 Å
α = 104.94°, β = 102.70°, γ = 90.00°
Positions (direct):
1 N 0.3312 0.4200 0.6624
2 Nb 0.5000 0.5000 0.0000
3 N 0.6688 0.5800 0.3376
4 N 0.0002 0.7573 0.0004
5 N 0.3311 0.9262 0.6622
6 Sc 0.1639 0.3269 0.3278
7 Mg 0.5000 0.0000 0.0000
8 Sc 0.8361 0.6731 0.6722
9 Nb 0.1584 0.8173 0.3168
10 N 0.9998 0.2427 0.9996
11 Nb 0.8416 0.1827 0.6832
12 N 0.6689 0.0738 0.3378

Summary:
- ΔE_f (raw): -16.131 eV/f.u.
- Raw total energy: -110.6 eV per cell

Record 2
VASP calculation (GGA-PBE) on an optimized crystal structure of BaV3Ir.

a = 4.6694 Å, b = 4.6694 Å, c = 4.6694 Å
α = 90.00°, β = 90.00°, γ = 90.00°
Positions (direct):
1 V 0.0000 0.0000 0.5000
2 V 0.5000 0.0000 0.0000
3 V 0.0000 0.5000 0.0000
4 Ba 0.0000 0.0000 0.0000
5 Ir 0.5000 0.5000 0.5000

Summary:
- Energy of formation from the pure elements: 252.0 kJ/mol of atoms
- Raw total energy: -25.1 eV per cell
- Distance to the lowest polymorph of the same formula: 1949 meV per atom

Record 3
VASP calculation (GGA-PBE) on an optimized crystal structure of Th2MgGe4Rh3.

a = 4.2598 Å, b = 4.2598 Å, c = 10.5640 Å
α = 90.00°, β = 90.00°, γ = 90.00°
Positions (direct):
1 Ge 0.5000 0.5000 0.0000
2 Rh 0.0000 0.5000 0.1216
3 Th 0.0000 0.5000 0.7611
4 Ge 0.0000 0.0000 0.0000
5 Ge 0.5000 0.0000 0.6459
6 Th 0.5000 0.0000 0.2389
7 Mg 0.5000 0.5000 0.5000
8 Rh 0.0000 0.0000 0.5000
9 Rh 0.5000 0.0000 0.8784
10 Ge 0.0000 0.5000 0.3541

Summary:
- Energy of formation from the pure elements: -75.6 kJ/mol of atoms
- Raw total energy: -64.8 eV per cell

Record 4
VASP calculation (GGA-PBE) on an optimized crystal structure of PrTmSb.

a = 4.2907 Å, b = 6.2790 Å, c = 8.1705 Å
α = 103.30°, β = 90.00°, γ = 109.98°
Each line ends with the local moment (μB).
Positions (direct):
1 Pr 0.8909 0.7818 0.1881  0.15
2 Sb 0.1879 0.3759 0.2134  0.00
3 Tm 0.6275 0.2550 0.4452  0.27
4 Pr 0.1091 0.2182 0.8119  0.15
5 Sb 0.8121 0.6241 0.7866  0.00
6 Tm 0.3725 0.7450 0.5548  0.27

Summary:
- ΔE_f (raw): -1.904 eV/f.u.
- Raw total energy: -30.6 eV per cell

Record 5
VASP calculation (GGA-PBE) on an optimized crystal structure of MoW5.

a = 9.5397 Å, b = 3.1829 Å, c = 3.1829 Å
α = 90.00°, β = 90.00°, γ = 90.00°
Positions (direct):
1 Mo 0.8333 0.5000 0.5000
2 W 0.9995 0.0000 0.0000
3 W 0.1662 0.5000 0.5000
4 W 0.3333 0.0000 0.0000
5 W 0.5005 0.5000 0.5000
6 W 0.6672 0.0000 0.0000

Summary:
- Energy of formation from the pure elements: -0.8 kJ/mol of atoms
- Raw total energy: -75.6 eV per cell
- Distance to the lowest polymorph of the same formula: 6 meV per atom

Record 6
VASP calculation (GGA-PBE) on an optimized crystal structure of LiSm2Er.

a = 3.4880 Å, b = 3.4880 Å, c = 12.4261 Å
α = 81.93°, β = 81.93°, γ = 60.00°
Positions (direct):
1 Er 0.5000 0.5000 0.5000
2 Sm 0.9108 0.9108 0.2677
3 Sm 0.0892 0.0892 0.7323
4 Li 0.0000 0.0000 0.0000

Summary:
- Energy of formation from the pure elements: 15.6 kJ/mol of atoms
- Raw total energy: -15.3 eV per cell
- Distance to the lowest polymorph of the same formula: 94 meV per atom

Record 7
VASP calculation (GGA-PBE) on an optimized crystal structure of Ca2YMoN4.

a = 4.9863 Å, b = 6.8300 Å, c = 7.6099 Å
α = 90.00°, β = 90.00°, γ = 90.00°
Positions (direct):
1 N 0.4441 0.1156 0.5000
2 N 0.3716 0.1803 0.0000
3 N 0.4364 0.7015 0.2748
4 N 0.4364 0.7015 0.7252
5 Ca 0.4420 0.3386 0.2558
6 Ca 0.4420 0.3386 0.7442
7 N 0.9441 0.8844 0.0000
8 N 0.9364 0.2985 0.7748
9 Mo 0.9871 0.1721 0.0000
10 N 0.9364 0.2985 0.2252
11 Y 0.4403 0.8613 0.0000
12 N 0.8716 0.8197 0.5000
13 Y 0.9403 0.1387 0.5000
14 Ca 0.9420 0.6614 0.2442
15 Mo 0.4871 0.8279 0.5000
16 Ca 0.9420 0.6614 0.7558

Summary:
- ΔE_f (raw): -8.180 eV/f.u.
- Raw total energy: -125.6 eV per cell

Question: The lowest raw total energy belongs to which entry?
Answer: Ca2YMoN4

Repeat the fourth record exactly.
VASP calculation (GGA-PBE) on an optimized crystal structure of PrTmSb.

a = 4.2907 Å, b = 6.2790 Å, c = 8.1705 Å
α = 103.30°, β = 90.00°, γ = 109.98°
Each line ends with the local moment (μB).
Positions (direct):
1 Pr 0.8909 0.7818 0.1881  0.15
2 Sb 0.1879 0.3759 0.2134  0.00
3 Tm 0.6275 0.2550 0.4452  0.27
4 Pr 0.1091 0.2182 0.8119  0.15
5 Sb 0.8121 0.6241 0.7866  0.00
6 Tm 0.3725 0.7450 0.5548  0.27

Summary:
- ΔE_f (raw): -1.904 eV/f.u.
- Raw total energy: -30.6 eV per cell

What did the sixth record say?
VASP calculation (GGA-PBE) on an optimized crystal structure of LiSm2Er.

a = 3.4880 Å, b = 3.4880 Å, c = 12.4261 Å
α = 81.93°, β = 81.93°, γ = 60.00°
Positions (direct):
1 Er 0.5000 0.5000 0.5000
2 Sm 0.9108 0.9108 0.2677
3 Sm 0.0892 0.0892 0.7323
4 Li 0.0000 0.0000 0.0000

Summary:
- Energy of formation from the pure elements: 15.6 kJ/mol of atoms
- Raw total energy: -15.3 eV per cell
- Distance to the lowest polymorph of the same formula: 94 meV per atom

Question: Number 1 is which compound?
Answer: MgSc2Nb3N6